# 1
! GGA-PBE ThMnGe, optimized geometry; values from VASP
&SYSTEM
  ibrav = 0, nat = 12, ntyp = 3
/
ATOMIC_SPECIES
Ge 72.64 Ge.upf
Th 232.04 Th.upf
Mn 54.94 Mn.upf
ATOMIC_POSITIONS crystal
Ge 0.250 0.002 0.726
Ge 0.750 0.498 0.774
Ge 0.750 0.998 0.274
Ge 0.250 0.502 0.226
Th 0.750 0.738 0.475
Th 0.250 0.262 0.525
Th 0.750 0.238 0.975
Th 0.250 0.762 0.025
Mn 0.750 0.823 0.781
Mn 0.750 0.323 0.281
Mn 0.250 0.677 0.719
Mn 0.250 0.177 0.219
CELL_PARAMETERS angstrom
3.964 0.000 0.000
0.000 7.601 0.365
0.000 -3.258 8.563
! SG: No. 11
! ρ: 9.09 g cm⁻³
! E_tot: -88.213 eV/cell
! Fermi-level density of states: 11.70 states/eV/cell



# 2
! GGA-PBE LaSBr, optimized geometry; values from VASP
&SYSTEM
  ibrav = 0, nat = 3, ntyp = 3
/
ATOMIC_SPECIES
S 32.06 S.upf
Br 79.90 Br.upf
La 138.91 La.upf
ATOMIC_POSITIONS crystal
S 0.500 0.500 0.500
Br 0.000 0.000 0.000
La 0.250 0.250 0.250
CELL_PARAMETERS angstrom
4.974 0.000 0.000
2.487 4.308 0.000
2.487 1.436 4.061
! SG: No. 216
! ρ: 4.79 g cm⁻³
! Fermi-level density of states: 0.00 states/eV/cell
! ΔE_f (raw): -1988 meV per atom



# 3
! GGA-PBE AcPm6Tl2, optimized geometry; values from VASP
&SYSTEM
  ibrav = 0, nat = 9, ntyp = 3
/
ATOMIC_SPECIES
Pm 145.00 Pm.upf
Tl 204.38 Tl.upf
Ac 227.00 Ac.upf
ATOMIC_POSITIONS crystal
Pm 0.312 0.797 0.579
Pm 0.692 0.487 0.129
Pm 0.688 0.203 0.421
Pm 0.994 0.669 0.343
Pm 0.308 0.513 0.871
Pm 0.006 0.331 0.657
Tl 0.646 0.936 0.772
Tl 0.354 0.064 0.228
Ac 0.000 0.000 0.000
CELL_PARAMETERS angstrom
3.854 0.000 0.612
1.683 6.473 1.841
0.041 0.076 12.186
! SG: No. 12
! ρ: 8.24 g cm⁻³
! E_tot: -38.592 eV/cell
! Fermi-level density of states: 11.58 states/eV/cell



# 4
! GGA-PBE La11Ag4Hg9, optimized geometry; values from VASP
&SYSTEM
  ibrav = 0, nat = 24, ntyp = 3
/
ATOMIC_SPECIES
La 138.91 La.upf
Hg 200.59 Hg.upf
Ag 107.87 Ag.upf
ATOMIC_POSITIONS crystal
La 0.000 0.631 0.369
La 0.000 0.591 0.946
La 0.000 0.369 0.631
La 0.000 0.170 0.830
La 0.000 0.409 0.054
La 0.000 0.946 0.591
La 0.000 0.286 0.286
La 0.000 0.714 0.714
La 0.000 0.830 0.170
La 0.000 0.054 0.409
La 0.000 0.000 0.000
Hg 0.500 0.162 0.627
Hg 0.500 0.787 0.937
Hg 0.500 0.937 0.787
Hg 0.500 0.373 0.838
Hg 0.500 0.063 0.213
Hg 0.500 0.838 0.373
Hg 0.500 0.627 0.162
Hg 0.500 0.213 0.063
Hg 0.500 0.500 0.500
Ag 0.500 0.247 0.445
Ag 0.500 0.445 0.247
Ag 0.500 0.753 0.555
Ag 0.500 0.555 0.753
CELL_PARAMETERS angstrom
-3.630 0.742 1.233
0.094 -11.662 7.290
4.632 10.802 7.143
! SG: No. 65
! ρ: 9.19 g cm⁻³
! E_tot: -78.426 eV/cell
! Fermi-level density of states: 21.21 states/eV/cell



# 5
! GGA-PBE InNiPtPb2, optimized geometry; values from VASP
&SYSTEM
  ibrav = 0, nat = 5, ntyp = 4
/
ATOMIC_SPECIES
Pb 207.20 Pb.upf
Pt 195.08 Pt.upf
In 114.82 In.upf
Ni 58.69 Ni.upf
ATOMIC_POSITIONS crystal
Pb 0.000 0.000 0.500
Pb 0.500 0.000 0.000
Pt 0.000 0.500 0.000
In 0.000 0.000 0.000
Ni 0.500 0.500 0.500
CELL_PARAMETERS angstrom
-2.334 1.827 4.843
-4.272 -2.273 -1.202
1.767 -4.712 2.630
! SG: No. 123
! ρ: 8.09 g cm⁻³
! E_tot: -16.499 eV/cell
! Fermi-level density of states: 6.16 states/eV/cell



# 6
! GGA-PBE CeTmThTi, optimized geometry; values from VASP
&SYSTEM
  ibrav = 0, nat = 4, ntyp = 4
/
ATOMIC_SPECIES
Th 232.04 Th.upf
Tm 168.93 Tm.upf
Ti 47.87 Ti.upf
Ce 140.12 Ce.upf
ATOMIC_POSITIONS crystal
Th 0.000 0.000 0.000
Tm 0.750 0.750 0.750
Ti 0.250 0.250 0.250
Ce 0.500 0.500 0.500
CELL_PARAMETERS angstrom
-4.004 0.911 -3.456
-2.093 -4.063 -2.814
-4.949 -1.760 1.103
! SG: No. 216
! ρ: 8.95 g cm⁻³
! E_tot: -24.704 eV/cell
! Fermi-level density of states: 9.69 states/eV/cell



# 7
! GGA-PBE MgNi2Cl, optimized geometry; values from VASP
&SYSTEM
  ibrav = 0, nat = 4, ntyp = 3
/
ATOMIC_SPECIES
Ni 58.69 Ni.upf
Mg 24.30 Mg.upf
Cl 35.45 Cl.upf
ATOMIC_POSITIONS crystal
Ni 0.500 0.500 0.000
Ni 0.000 0.000 0.000
Mg 0.000 0.500 0.500
Cl 0.500 0.000 0.500
CELL_PARAMETERS angstrom
3.469 0.000 0.000
0.000 3.469 0.000
0.000 0.000 5.167
! SG: No. 123
! ρ: 4.73 g cm⁻³
! Fermi-level density of states: 5.42 states/eV/cell
! ΔE_f (raw): 113 meV per atom



# 8
! GGA-PBE ReTcBi2, optimized geometry; values from VASP
&SYSTEM
  ibrav = 0, nat = 8, ntyp = 3
/
ATOMIC_SPECIES
Tc 98.00 Tc.upf
Re 186.21 Re.upf
Bi 208.98 Bi.upf
ATOMIC_POSITIONS crystal
Tc 0.250 0.750 0.500
Tc 0.500 0.500 0.000
Re 0.750 0.250 0.500
Re 0.000 0.000 0.000
Bi 0.122 0.625 0.250
Bi 0.875 0.878 0.750
Bi 0.628 0.125 0.250
Bi 0.375 0.372 0.750
CELL_PARAMETERS angstrom
6.417 0.000 0.000
0.000 6.417 0.000
3.209 3.209 5.819
! SG: No. 122
! ρ: 9.73 g cm⁻³
! E_tot: -47.918 eV/cell
! Fermi-level density of states: 15.93 states/eV/cell



> Among the records above, which one has the highest Fermi-level density of states?

La11Ag4Hg9



> What is the Fermi-level density of states in the eighth record?

15.93 states/eV/cell